1.
{"formula": "ZrHg3", "functional": "meta-GGA SCAN", "state": "single point on PBEsol structure", "lattice": [[6.302, 0.000, 0.000], [-3.151, 5.458, 0.000], [0.000, 0.000, 4.788]], "species": ["Zr", "Zr", "Hg", "Hg", "Hg", "Hg", "Hg", "Hg"], "fractional_positions": [[0.333, 0.667, 0.250], [0.667, 0.333, 0.750], [0.169, 0.337, 0.750], [0.169, 0.831, 0.750], [0.337, 0.169, 0.250], [0.663, 0.831, 0.750], [0.831, 0.169, 0.250], [0.831, 0.663, 0.250]], "total_energy_ev_per_atom": -58.97, "total_magnetization_mub_per_cell": 0.00}

=====

2.
{"formula": "Zr2Hg", "functional": "meta-GGA SCAN", "state": "single point on PBEsol structure", "lattice": [[5.003, 0.000, 0.000], [-2.501, 4.332, 0.000], [0.000, 0.000, 2.915]], "species": ["Zr", "Zr", "Hg"], "fractional_positions": [[0.333, 0.667, 0.210], [0.667, 0.333, 0.790], [0.000, 0.000, 0.500]], "total_energy_ev_per_atom": -43.15, "total_magnetization_mub_per_cell": 0.00}

=====

3.
{"formula": "ZrHg3", "functional": "meta-GGA SCAN", "state": "single point on PBEsol structure", "lattice": [[6.215, 0.000, 0.000], [0.000, 8.900, 0.000], [0.000, 0.000, 3.090]], "species": ["Zr", "Zr", "Hg", "Hg", "Hg", "Hg", "Hg", "Hg"], "fractional_positions": [[0.000, 0.000, 0.000], [0.500, 0.500, 0.000], [0.000, 0.500, 0.000], [0.250, 0.250, 0.500], [0.250, 0.750, 0.500], [0.500, 0.000, 0.000], [0.750, 0.250, 0.500], [0.750, 0.750, 0.500]], "total_energy_ev_per_atom": -58.90, "total_magnetization_mub_per_cell": 0.00}

=====

4.
{"formula": "ZrHg", "functional": "meta-GGA SCAN", "state": "single point on PBEsol structure", "lattice": [[4.790, 0.000, 0.000], [-2.395, 4.149, 0.000], [0.000, 0.000, 5.671]], "species": ["Zr", "Zr", "Hg", "Hg"], "fractional_positions": [[0.333, 0.667, 0.250], [0.667, 0.333, 0.750], [0.333, 0.667, 0.750], [0.667, 0.333, 0.250]], "total_energy_ev_per_atom": -49.05, "total_magnetization_mub_per_cell": 0.00}

=====

5.
{"formula": "ZrHg", "functional": "meta-GGA SCAN", "state": "single point on PBEsol structure", "lattice": [[3.100, 0.000, 0.000], [0.000, 3.100, 0.000], [0.000, 0.000, 4.256]], "species": ["Zr", "Hg"], "fractional_positions": [[0.000, 0.000, 0.000], [0.500, 0.500, 0.500]], "total_energy_ev_per_atom": -49.80, "total_magnetization_mub_per_cell": 0.33}

=====

6.
{"formula": "ZrHg", "functional": "meta-GGA SCAN", "state": "single point on PBEsol structure", "lattice": [[3.305, 0.000, 0.000], [0.000, 11.650, 0.000], [0.000, 0.000, 4.421]], "species": ["Zr", "Zr", "Zr", "Zr", "Hg", "Hg", "Hg", "Hg"], "fractional_positions": [[0.000, 0.173, 0.250], [0.000, 0.827, 0.750], [0.500, 0.327, 0.750], [0.500, 0.673, 0.250], [0.000, 0.425, 0.250], [0.000, 0.575, 0.750], [0.500, 0.075, 0.750], [0.500, 0.925, 0.250]], "total_energy_ev_per_atom": -49.73, "total_magnetization_mub_per_cell": 0.00}

=====

7.
{"formula": "ZrHg3", "functional": "meta-GGA SCAN", "state": "single point on PBEsol structure", "lattice": [[4.440, 0.000, 0.000], [0.000, 4.440, 0.000], [0.000, 0.000, 16.830]], "species": ["Zr", "Zr", "Zr", "Zr", "Hg", "Hg", "Hg", "Hg", "Hg", "Hg", "Hg", "Hg", "Hg", "Hg", "Hg", "Hg"], "fractional_positions": [[0.000, 0.000, 0.125], [0.000, 0.000, 0.875], [0.500, 0.500, 0.375], [0.500, 0.500, 0.625], [0.000, 0.000, 0.371], [0.000, 0.000, 0.629], [0.000, 0.500, 0.000], [0.000, 0.500, 0.250], [0.000, 0.500, 0.500], [0.000, 0.500, 0.750], [0.500, 0.000, 0.000], [0.500, 0.000, 0.250], [0.500, 0.000, 0.500], [0.500, 0.000, 0.750], [0.500, 0.500, 0.129], [0.500, 0.500, 0.871]], "total_energy_ev_per_atom": -58.94, "total_magnetization_mub_per_cell": 0.00}

=====

8.
{"formula": "Zr3Hg", "functional": "meta-GGA SCAN", "state": "single point on PBEsol structure", "lattice": [[5.516, 0.000, 0.000], [0.000, 5.516, 0.000], [0.000, 0.000, 5.516]], "species": ["Zr", "Zr", "Zr", "Zr", "Zr", "Zr", "Hg", "Hg"], "fractional_positions": [[0.000, 0.250, 0.500], [0.000, 0.750, 0.500], [0.250, 0.500, 0.000], [0.500, 0.000, 0.250], [0.500, 0.000, 0.750], [0.750, 0.500, 0.000], [0.000, 0.000, 0.000], [0.500, 0.500, 0.500]], "total_energy_ev_per_atom": -40.40, "total_magnetization_mub_per_cell": 0.00}

=====

9.
{"formula": "Zr3Hg", "functional": "meta-GGA SCAN", "state": "single point on PBEsol structure", "lattice": [[6.167, 0.000, 0.000], [-3.083, 5.341, 0.000], [0.000, 0.000, 5.128]], "species": ["Zr", "Zr", "Zr", "Zr", "Zr", "Zr", "Hg", "Hg"], "fractional_positions": [[0.169, 0.338, 0.250], [0.169, 0.831, 0.250], [0.338, 0.169, 0.750], [0.662, 0.831, 0.250], [0.831, 0.169, 0.750], [0.831, 0.662, 0.750], [0.333, 0.667, 0.750], [0.667, 0.333, 0.250]], "total_energy_ev_per_atom": -40.26, "total_magnetization_mub_per_cell": 0.01}

=====

10.
{"formula": "ZrHg3", "functional": "meta-GGA SCAN", "state": "single point on PBEsol structure", "lattice": [[3.000, 0.000, 0.000], [0.000, 4.689, 0.000], [-0.349, 0.000, 6.021]], "species": ["Zr", "Hg", "Hg", "Hg"], "fractional_positions": [[0.000, 0.000, 0.000], [0.458, 0.500, 0.764], [0.500, 0.000, 0.500], [0.542, 0.500, 0.236]], "total_energy_ev_per_atom": -58.91, "total_magnetization_mub_per_cell": 0.00}

=====

11.
{"formula": "ZrHg", "functional": "meta-GGA SCAN", "state": "single point on PBEsol structure", "lattice": [[11.192, 0.000, 0.000], [0.000, 3.272, 0.000], [-2.329, 0.000, 6.856]], "species": ["Zr", "Zr", "Zr", "Zr", "Zr", "Zr", "Hg", "Hg", "Hg", "Hg", "Hg", "Hg"], "fractional_positions": [[0.000, 0.000, 0.000], [0.012, 0.000, 0.542], [0.347, 0.000, 0.205], [0.500, 0.500, 0.000], [0.512, 0.500, 0.542], [0.847, 0.500, 0.205], [0.155, 0.500, 0.333], [0.190, 0.500, 0.870], [0.329, 0.000, 0.661], [0.655, 0.000, 0.333], [0.690, 0.000, 0.870], [0.829, 0.500, 0.661]], "total_energy_ev_per_atom": -49.69, "total_magnetization_mub_per_cell": 0.00}

=====

12.
{"formula": "ZrHg4", "functional": "meta-GGA SCAN", "state": "single point on PBEsol structure", "lattice": [[3.838, 0.000, 0.000], [0.000, 3.838, 0.000], [0.000, 0.000, 15.849]], "species": ["Zr", "Zr", "Hg", "Hg", "Hg", "Hg", "Hg", "Hg", "Hg", "Hg"], "fractional_positions": [[0.000, 0.000, 0.000], [0.500, 0.500, 0.500], [0.000, 0.000, 0.406], [0.000, 0.000, 0.594], [0.000, 0.500, 0.250], [0.000, 0.500, 0.750], [0.500, 0.000, 0.250], [0.500, 0.000, 0.750], [0.500, 0.500, 0.094], [0.500, 0.500, 0.906]], "total_energy_ev_per_atom": -60.48, "total_magnetization_mub_per_cell": 0.00}

=====

13.
{"formula": "Zr2Hg3", "functional": "meta-GGA SCAN", "state": "single point on PBEsol structure", "lattice": [[0.000, 7.229, 2.906], [4.997, 0.000, 2.906], [4.997, 7.229, 0.000]], "species": ["Zr", "Zr", "Zr", "Zr", "Hg", "Hg", "Hg", "Hg", "Hg", "Hg"], "fractional_positions": [[0.137, 0.863, 0.254], [0.504, 0.996, 0.387], [0.863, 0.137, 0.746], [0.996, 0.504, 0.113], [0.112, 0.112, 0.888], [0.362, 0.362, 0.138], [0.479, 0.577, 0.301], [0.577, 0.479, 0.644], [0.606, 0.949, 0.673], [0.949, 0.606, 0.771]], "total_energy_ev_per_atom": -53.43, "relative_energy_mev_per_atom": 0, "total_magnetization_mub_per_cell": 0.00}

=====

14.
{"formula": "Zr2Hg", "functional": "meta-GGA SCAN", "state": "single point on PBEsol structure", "lattice": [[4.965, 0.000, 0.000], [-2.483, 4.300, 0.000], [0.000, 0.000, 5.916]], "species": ["Zr", "Zr", "Zr", "Zr", "Hg", "Hg"], "fractional_positions": [[0.000, 0.000, 0.000], [0.000, 0.000, 0.500], [0.333, 0.667, 0.250], [0.667, 0.333, 0.750], [0.333, 0.667, 0.750], [0.667, 0.333, 0.250]], "total_energy_ev_per_atom": -43.48, "total_magnetization_mub_per_cell": 0.00}